No. 1
A geometry-optimized La2YCu structure. Source: Alexandria via LeMat-Bulk, functional PBEsol.

abc: 3.5483 3.5483 8.6389
angles: 90.00 90.00 89.98
Last column: nearest neighbours and their distance in Å.
Fractional positions:
1 La 0.5000 0.5000 0.7435  8 La 3.55-3.64, 4 Y 3.62
2 Y 0.0000 0.0000 0.4408  4 Cu 2.93
3 La 0.0000 0.0000 0.0492  4 Cu 3.13, 1 Y 3.38
4 Cu 0.5000 0.5000 0.2665  4 Y 2.93, 4 La 3.13

## Properties
**ρ**: 6.569 g/cm3
**DFT formation energy**: -54 meV per atom
**N(E_F)**: 1.292 states/eV/atom
**Polymorph energy (0 for the lowest one)**: 0 meV/atom


No. 2
A geometry-optimized Ba2InAg2 structure. Source: Alexandria via LeMat-Bulk, functional PBEsol.

abc: 3.9118 3.9118 10.5493
angles: 100.68 100.68 90.00
Last column: nearest neighbours and their distance in Å.
Fractional positions:
1 Ag 0.2500 0.7500 0.5000  4 Ag 2.77
2 Ag 0.7500 0.2500 0.5000  4 Ag 2.77
3 Ba 0.6122 0.6122 0.2245  4 Ag 3.42, 4 In 3.59
4 In 0.0000 0.0000 0.0000  8 Ba 3.59, 4 In 3.91
5 Ba 0.3878 0.3878 0.7755  4 Ag 3.42, 4 In 3.59

## Properties
**ρ**: 6.451 g/cm3
**DFT formation energy**: -176 meV per atom
**N(E_F)**: 0.564 states/eV/atom


No. 3
A geometry-optimized LiTi3VP6O24 structure. Source: Alexandria via LeMat-Bulk, functional PBEsol.

abc: 8.5448 8.5448 8.5211
angles: 59.91 59.91 60.00
Last column: nearest neighbours and their distance in Å.
Fractional positions:
1 Li 0.0004 0.0004 0.9989  6 O 2.27-2.29
2 O 0.7855 0.5396 0.2524  1 P 1.53
3 O 0.5845 0.2136 0.7541  1 P 1.53
4 O 0.4478 0.5845 0.7541  1 P 1.53
5 P 0.4573 0.7582 0.7549  4 O 1.52-1.56
6 O 0.8188 0.9901 0.5722  1 P 1.53
7 O 0.6189 0.8188 0.5722  1 P 1.53
8 O 0.7220 0.8573 0.9341  1 P 1.52
9 P 0.5391 0.2483 0.2440  4 O 1.51-1.57
10 P 0.2483 0.9687 0.2440  4 O 1.51-1.57
11 P 0.9687 0.5391 0.2440  4 O 1.51-1.57
12 O 0.1858 0.0142 0.4287  1 P 1.57
13 O 0.0679 0.2615 0.7489  1 P 1.56
14 O 0.9901 0.6189 0.5722  1 P 1.53
15 O 0.0869 0.9355 0.2451  1 P 1.54
16 O 0.7325 0.0869 0.2451  1 P 1.54
17 P 0.0297 0.4573 0.7549  4 O 1.52-1.56
18 O 0.4866 0.7220 0.9341  1 P 1.52
19 O 0.0142 0.3713 0.4287  1 P 1.57
20 P 0.7582 0.0297 0.7549  4 O 1.52-1.56
21 O 0.8573 0.4866 0.9341  1 P 1.52
22 O 0.4225 0.7855 0.2524  1 P 1.53
23 O 0.9355 0.7325 0.2451  1 P 1.54
24 Ti 0.3662 0.3662 0.9014  6 O 1.90-1.95
25 O 0.5396 0.4225 0.2524  1 P 1.53
26 O 0.2898 0.1389 0.0675  1 P 1.51
27 O 0.5037 0.2898 0.0675  1 P 1.51
28 V 0.1428 0.1428 0.5714  6 O 1.82-1.91
29 O 0.9217 0.0679 0.7489  1 P 1.56
30 Ti 0.6345 0.6345 0.0965  6 O 1.92-1.96
31 O 0.2136 0.4478 0.7541  1 P 1.53
32 Ti 0.8580 0.8580 0.4260  6 O 1.88-1.97
33 O 0.2615 0.9217 0.7489  1 P 1.56
34 O 0.3713 0.1858 0.4287  1 P 1.57
35 O 0.1389 0.5037 0.0675  1 P 1.51

## Properties
**ρ**: 2.915 g/cm3
**Energy relative to the elements, uncorrected**: -2475 meV per atom


No. 4
A geometry-optimized InPbBr2 structure. Source: Alexandria via LeMat-Bulk, functional PBEsol.

abc: 3.7146 3.7146 8.1816
angles: 90.00 90.00 89.94
Last column: nearest neighbours and their distance in Å.
Fractional positions:
1 Br 0.5000 0.5000 0.6960  4 In 3.03-3.04
2 Pb 0.5000 0.5000 0.2523  4 Br 3.14, 4 In 3.37
3 Br 0.0000 0.0000 0.0414  4 Pb 3.14
4 In 0.0000 0.0000 0.5103  4 Br 3.03-3.04, 4 Pb 3.37

## Properties
**ρ**: 7.087 g/cm3
**N(E_F)**: 0.222 states/eV/atom
**Energy relative to the elements, uncorrected**: -439 meV per atom
**Polymorph energy (0 for the lowest one)**: 0 meV/atom


No. 5
A geometry-optimized FeCuTc2 structure. Source: Alexandria via LeMat-Bulk, functional PBEsol.

abc: 4.1591 4.1591 4.1591
angles: 60.00 60.00 60.00
Last column: nearest neighbours and their distance in Å.
Fractional positions:
1 Cu 0.5000 0.5000 0.5000  4 Tc 2.55, 4 Fe 2.55
2 Tc 0.0000 0.0000 0.0000  4 Fe 2.55, 4 Tc 2.55
3 Fe 0.2500 0.2500 0.2500  4 Tc 2.55, 4 Cu 2.55
4 Tc 0.7500 0.7500 0.7500  4 Tc 2.55, 4 Cu 2.55

## Properties
**ρ**: 10.295 g/cm3
**DFT formation energy**: 315 meV per atom
**N(E_F)**: 1.150 states/eV/atom
**Polymorph energy (0 for the lowest one)**: 120 meV/atom


No. 6
A geometry-optimized Na3AsH14SO10 structure. Source: Alexandria via LeMat-Bulk, functional PBEsol.

abc: 6.6434 6.8714 12.6545
angles: 90.00 90.00 90.55
Last column: nearest neighbours and their distance in Å.
Fractional positions:
1 O 0.3698 0.9805 0.3739  2 H 0.99-1.01
2 H 0.5463 0.4140 0.4014  1 O 1.00
3 H 0.2043 0.8369 0.5693  1 O 1.01
4 O 0.0201 0.7555 0.0891  3 H 1.61-1.70, 1 As 1.72
5 O 0.6610 0.3229 0.2943  2 H 0.99-1.02
6 O 0.6565 0.5787 0.1417  4 H 1.60-1.75, 1 As 1.74
7 O 0.3390 0.6771 0.7943  2 H 0.99-1.02
8 H 0.8033 0.3953 0.0865  1 O 1.00
9 H 0.9984 0.6769 0.9680  1 O 1.01
10 O 0.6615 0.9642 0.0784  3 H 1.62-1.64, 1 As 1.72
11 H 0.4416 0.4514 0.5168  1 O 1.00
12 O 0.0103 0.3873 0.3960  2 H 1.00-1.01
13 O 0.2643 0.5269 0.1932  2 H 1.00-1.02
14 O 0.3385 0.0358 0.5784  3 H 1.62-1.64, 1 As 1.72
15 H 0.3331 0.5831 0.7321  1 O 1.02
16 Na 0.7845 0.3327 0.8707  5 O 2.37-2.47
17 O 0.9799 0.2445 0.5891  3 H 1.61-1.70, 1 As 1.72
18 H 0.7957 0.1631 0.0693  1 O 1.01
19 O 0.8783 0.2846 0.0550  2 H 1.00-1.01
20 H 0.4537 0.5860 0.9014  1 O 1.00
21 O 0.9897 0.6127 0.8960  2 H 1.00-1.01
22 Na 0.2078 0.3310 0.0127  3 O 2.27-2.33
23 O 0.1217 0.7154 0.5550  2 H 1.00-1.01
24 H 0.1703 0.6189 0.1546  1 O 1.02
25 H 0.4865 0.0438 0.8580  1 O 0.99
26 As 0.2076 0.2045 0.6501  3 O 1.72-1.74
27 H 0.4055 0.5653 0.1740  1 O 1.00
28 H 0.6669 0.4169 0.2321  1 O 1.02
29 Na 0.7922 0.6690 0.5127  3 O 2.27-2.33
30 O 0.5000 0.5148 0.4524  2 H 1.00
31 O 0.7186 0.9435 0.6088  2 H 1.00-1.01
32 O 0.2814 0.0565 0.1088  2 H 1.00-1.01
33 O 0.6302 0.0195 0.8739  2 H 0.99-1.01
34 O 0.5000 0.4852 0.9524  2 H 1.00
35 S 0.1623 0.1021 0.8085  1 As 2.14, 2 H 2.25-2.28
36 H 0.6376 0.9850 0.9516  1 O 1.01
37 H 0.1230 0.6354 0.8607  1 O 1.00
38 Na 0.2155 0.6673 0.3707  5 O 2.37-2.47
39 H 0.8134 0.0566 0.5983  1 O 1.00
40 O 0.3435 0.4213 0.6417  4 H 1.60-1.75, 1 As 1.74
41 Na 0.2089 0.2096 0.2691  4 O 2.33-2.42
42 H 0.1967 0.6047 0.5865  1 O 1.00
43 H 0.5768 0.9928 0.6015  1 O 1.01
44 S 0.8377 0.8979 0.3085  1 As 2.14, 2 H 2.25-2.28
45 H 0.5945 0.4347 0.6740  1 O 1.00
46 H 0.3624 0.0150 0.4516  1 O 1.01
47 H 0.8297 0.3811 0.6546  1 O 1.02
48 H 0.3013 0.8113 0.7731  1 O 0.99
49 H 0.4232 0.0072 0.1015  1 O 1.01
50 O 0.7357 0.4731 0.6932  2 H 1.00-1.02
51 H 0.5135 0.9562 0.3580  1 O 0.99
52 H 0.8770 0.3646 0.3607  1 O 1.00
53 H 0.0016 0.3231 0.4680  1 O 1.01
54 Na 0.7911 0.7904 0.7691  4 O 2.33-2.42
55 H 0.1866 0.9434 0.0983  1 O 1.00
56 H 0.6987 0.1887 0.2731  1 O 0.99
57 H 0.5584 0.5486 0.0168  1 O 1.00
58 As 0.7924 0.7955 0.1501  3 O 1.72-1.74

## Properties
**ρ**: 2.013 g/cm3
**N(E_F)**: 0.000 states/eV/atom


No. 7
A geometry-optimized LaZr2BeFe structure. Source: Alexandria via LeMat-Bulk, functional PBEsol.

abc: 4.2972 5.0416 5.0416
angles: 90.00 90.00 90.00
Last column: nearest neighbours and their distance in Å.
Fractional positions:
1 Zr 0.0000 0.0000 0.5000  2 La 2.52
2 La 0.0000 0.0000 0.0000  2 Fe 2.15
3 Zr 0.0000 0.5000 0.0000  2 La 2.52
4 Fe 0.5000 0.0000 0.0000  2 La 2.15
5 Be 0.5000 0.5000 0.5000  8 Zr 3.31, 4 Fe 3.56

## Properties
**ρ**: 5.872 g/cm3
**DFT formation energy**: 1579 meV per atom
**N(E_F)**: 0.862 states/eV/atom


No. 8
A geometry-optimized HgOs3W structure. Source: Alexandria via LeMat-Bulk, functional PBEsol.

abc: 4.6943 4.6943 4.6943
angles: 90.00 90.00 90.00
Last column: nearest neighbours and their distance in Å.
Fractional positions:
1 Os 0.5000 0.0000 0.0000  2 Hg 2.35
2 W 0.5000 0.5000 0.5000  12 Os 3.32
3 Os 0.0000 0.0000 0.5000  2 Hg 2.35
4 Hg 0.0000 0.0000 0.0000  6 Os 2.35
5 Os 0.0000 0.5000 0.0000  2 Hg 2.35

## Properties
**ρ**: 15.332 g/cm3
**DFT formation energy**: 3663 meV per atom
**N(E_F)**: 0.968 states/eV/atom


No. 9
A geometry-optimized Rb2VO2F4 structure. Source: Alexandria via LeMat-Bulk, functional PBEsol.

abc: 6.2268 6.2268 8.0869
angles: 90.00 90.00 90.89
Last column: nearest neighbours and their distance in Å.
Fractional positions:
1 F 0.9666 0.5464 0.2500  1 V 1.87
2 F 0.0334 0.4536 0.7500  1 V 1.87
3 F 0.2688 0.2688 0.9730  1 V 1.83
4 F 0.7312 0.7312 0.4730  1 V 1.83
5 V 0.7675 0.7675 0.2500  1 O 1.64, 2 F 1.83
6 Rb 0.2571 0.7429 0.5000  8 F 2.96-3.28, 4 O 2.98-3.07
7 F 0.2688 0.2688 0.5270  1 V 1.83
8 Rb 0.7429 0.2571 0.0000  8 F 2.96-3.28, 4 O 2.98-3.07
9 F 0.7312 0.7312 0.0270  1 V 1.83
10 F 0.4536 0.0334 0.7500  1 V 1.87
11 O 0.5420 0.5420 0.2500  1 V 1.97
12 O 0.9557 0.9557 0.2500  1 V 1.64
13 O 0.4580 0.4580 0.7500  1 V 1.97
14 V 0.2325 0.2325 0.7500  1 O 1.64, 2 F 1.83
15 Rb 0.2571 0.7429 0.0000  8 F 2.96-3.28, 4 O 2.98-3.07
16 Rb 0.7429 0.2571 0.5000  8 F 2.96-3.28, 4 O 2.98-3.07
17 F 0.5464 0.9666 0.2500  1 V 1.87
18 O 0.0443 0.0443 0.7500  1 V 1.64

## Properties
**ρ**: 3.494 g/cm3
**Energy relative to the elements, uncorrected**: -2377 meV per atom


No. 10
A geometry-optimized NaSc2Pt structure. Source: Alexandria via LeMat-Bulk, functional PBEsol.

abc: 3.0249 3.0249 11.2643
angles: 82.28 82.28 60.00
Last column: nearest neighbours and their distance in Å.
Fractional positions:
1 Sc 0.0743 0.0743 0.7772  1 Pt 2.48
2 Pt 0.0000 0.0000 0.0000  2 Sc 2.48
3 Na 0.5000 0.5000 0.5000  6 Na 3.02
4 Sc 0.9257 0.9257 0.2228  1 Pt 2.48

## Properties
**ρ**: 5.800 g/cm3
**DFT formation energy**: 205 meV per atom
**N(E_F)**: 1.014 states/eV/atom


No. 11
A geometry-optimized YCoBi3 structure. Source: Alexandria via LeMat-Bulk, functional PBEsol.

abc: 5.1050 5.1050 5.1050
angles: 90.00 90.00 90.00
Last column: nearest neighbours and their distance in Å.
Fractional positions:
1 Bi 0.0000 0.5000 0.0000  2 Co 2.55
2 Bi 0.5000 0.0000 0.0000  2 Co 2.55
3 Co 0.0000 0.0000 0.0000  6 Bi 2.55
4 Y 0.5000 0.5000 0.5000  12 Bi 3.61
5 Bi 0.0000 0.0000 0.5000  2 Co 2.55

## Properties
**ρ**: 9.670 g/cm3
**DFT formation energy**: 101 meV per atom
**N(E_F)**: 1.312 states/eV/atom


No. 12
A geometry-optimized ZrCu2P structure. Source: Alexandria via LeMat-Bulk, functional PBEsol.

abc: 3.3812 3.3812 5.1863
angles: 90.00 90.00 90.00
Last column: nearest neighbours and their distance in Å.
Fractional positions:
1 P 0.5000 0.5000 0.0000  2 Zr 2.59, 8 Cu 2.68
2 Cu 0.0000 0.0000 0.2327  1 Cu 2.41, 4 P 2.68
3 Cu 0.0000 0.0000 0.7673  1 Cu 2.41, 4 P 2.68
4 Zr 0.5000 0.5000 0.5000  2 P 2.59, 8 Cu 2.76

## Properties
**ρ**: 6.982 g/cm3
**DFT formation energy**: -154 meV per atom
**N(E_F)**: 0.736 states/eV/atom


We obtain DFT total energy values of -22.1 -14.8 -283.9 -12.5 -34.6 -293.5 -28.6 -32.7 -102.6 -20.8 -26.9 -24.2 eV per cell for the records listed above, in that order.